Li3Co2Ni2O8 | Alexandria via LeMat-Bulk | meta-GGA SCAN | single point on PBEsol structure; formation energy (no corrections) = -1628 meV per atom
1.0
-0.634 -5.303 1.704
-1.414 -3.946 -3.741
3.807 -3.858 -1.498
Li Co Ni O
3 2 2 8
Direct
0.500 0.500 0.000
0.000 0.500 0.500
0.500 0.000 0.500
0.000 0.000 0.000
0.500 0.000 0.000
0.000 0.500 0.000
0.000 0.000 0.500
0.789 0.234 0.234
0.238 0.789 0.230
0.248 0.237 0.239
0.762 0.769 0.211
0.238 0.231 0.789
0.752 0.763 0.761
0.762 0.211 0.770
0.211 0.766 0.766

---

Li2CoNi3O8 | Alexandria via LeMat-Bulk | meta-GGA SCAN | single point on PBEsol structure; formation energy (no corrections) = -1499 meV per atom
1.0
-4.802 -3.358 5.413
6.364 -2.236 4.262
-0.277 6.886 4.027
Li Co Ni O
8 4 12 32
Direct
0.000 0.000 0.000
0.750 0.750 0.250
0.250 0.750 0.750
0.500 0.500 0.000
0.000 0.500 0.500
0.250 0.250 0.250
0.750 0.250 0.750
0.500 0.000 0.500
0.625 0.875 0.875
0.125 0.625 0.125
0.375 0.375 0.625
0.875 0.125 0.375
0.375 0.874 0.124
0.124 0.875 0.374
0.874 0.876 0.625
0.374 0.624 0.375
0.624 0.625 0.626
0.875 0.626 0.876
0.625 0.374 0.376
0.876 0.375 0.126
0.126 0.376 0.875
0.626 0.124 0.125
0.376 0.125 0.874
0.125 0.126 0.624
0.613 0.888 0.109
0.391 0.887 0.888
0.110 0.890 0.610
0.137 0.859 0.138
0.888 0.891 0.387
0.360 0.860 0.360
0.638 0.863 0.641
0.859 0.862 0.863
0.359 0.638 0.137
0.138 0.637 0.359
0.860 0.640 0.640
0.388 0.609 0.613
0.637 0.641 0.862
0.610 0.610 0.390
0.891 0.613 0.112
0.113 0.612 0.891
0.387 0.388 0.391
0.609 0.387 0.612
0.890 0.390 0.890
0.863 0.359 0.362
0.112 0.391 0.113
0.640 0.360 0.140
0.362 0.363 0.859
0.141 0.362 0.637
0.641 0.138 0.363
0.862 0.137 0.141
0.140 0.140 0.860
0.612 0.109 0.887
0.363 0.141 0.638
0.390 0.110 0.110
0.109 0.113 0.388
0.887 0.112 0.609

---

Li6CoNi9O20 | Alexandria via LeMat-Bulk | meta-GGA SCAN | single point on PBEsol structure; formation energy (no corrections) = -1443 meV per atom
1.0
2.831 0.000 0.000
-1.415 11.168 -0.080
0.000 -4.776 10.404
Li Co Ni O
6 1 9 20
Direct
0.289 0.578 0.831
0.902 0.804 0.554
0.711 0.422 0.169
0.910 0.820 0.069
0.090 0.180 0.931
0.098 0.196 0.446
0.500 0.000 0.500
0.298 0.596 0.601
0.301 0.601 0.098
0.500 0.000 0.000
0.099 0.198 0.698
0.699 0.399 0.902
0.900 0.800 0.800
0.100 0.200 0.200
0.702 0.404 0.399
0.901 0.802 0.302
0.594 0.187 0.077
0.610 0.220 0.322
0.193 0.386 0.789
0.194 0.387 0.279
0.206 0.411 0.510
0.408 0.816 0.419
0.592 0.184 0.581
0.207 0.413 0.022
0.393 0.786 0.181
0.390 0.780 0.678
0.406 0.813 0.923
0.607 0.214 0.819
0.793 0.587 0.978
0.006 0.012 0.112
0.794 0.589 0.490
0.806 0.613 0.721
0.807 0.614 0.211
0.006 0.012 0.612
0.994 0.988 0.388
0.994 0.988 0.888

---

Li10Co3Ni7O20 | Alexandria via LeMat-Bulk | meta-GGA SCAN | single point on PBEsol structure; formation energy (no corrections) = -1710 meV per atom
1.0
-0.712 -2.258 -1.492
10.721 -1.161 -3.360
-1.644 -4.441 10.129
Li Co Ni O
10 3 7 20
Direct
0.700 0.649 0.400
0.700 0.147 0.399
0.899 0.049 0.797
0.901 0.554 0.801
0.501 0.253 0.002
0.499 0.747 0.998
0.300 0.351 0.600
0.300 0.853 0.601
0.101 0.951 0.203
0.099 0.446 0.199
0.900 0.801 0.801
0.500 0.500 0.000
0.100 0.199 0.199
0.902 0.301 0.804
0.700 0.899 0.399
0.699 0.400 0.397
0.301 0.600 0.603
0.500 0.000 0.000
0.300 0.101 0.601
0.098 0.699 0.196
0.799 0.483 0.597
0.992 0.880 0.984
0.599 0.084 0.198
0.808 0.721 0.617
0.802 0.218 0.605
0.000 0.612 0.999
0.000 0.388 0.001
0.592 0.580 0.184
0.799 0.986 0.598
0.008 0.120 0.016
0.400 0.186 0.801
0.192 0.279 0.383
0.401 0.689 0.801
0.408 0.420 0.816
0.600 0.814 0.199
0.201 0.517 0.403
0.201 0.014 0.402
0.198 0.782 0.395
0.599 0.311 0.199
0.401 0.916 0.802

---

Li2CoNi3O8 | Alexandria via LeMat-Bulk | meta-GGA SCAN | single point on PBEsol structure; formation energy (no corrections) = -1497 meV per atom
1.0
-4.105 1.879 3.359
-1.740 -3.162 4.317
1.204 1.566 5.269
Li Co Ni O
2 1 3 8
Direct
0.876 0.876 0.876
0.124 0.124 0.124
0.500 0.500 0.500
0.500 0.000 0.500
0.000 0.500 0.500
0.500 0.500 0.000
0.293 0.734 0.734
0.734 0.293 0.734
0.264 0.264 0.264
0.734 0.734 0.293
0.266 0.266 0.707
0.736 0.736 0.736
0.266 0.707 0.266
0.707 0.266 0.266

---

Li2CoNi3O8 | Alexandria via LeMat-Bulk | meta-GGA SCAN | single point on PBEsol structure; formation energy (no corrections) = -1432 meV per atom
1.0
-0.691 4.975 2.442
-1.636 -4.690 2.631
5.316 -2.120 -0.491
Li Co Ni O
2 1 3 8
Direct
0.500 0.000 0.500
0.500 0.500 0.500
0.000 0.000 0.000
0.500 0.000 0.000
0.000 0.500 0.000
0.500 0.500 0.000
0.973 0.237 0.201
0.463 0.231 0.208
0.974 0.737 0.201
0.465 0.732 0.209
0.535 0.268 0.791
0.026 0.263 0.799
0.537 0.769 0.792
0.027 0.763 0.799

---

Li4Co3Ni3O12 | Alexandria via LeMat-Bulk | meta-GGA SCAN | single point on PBEsol structure; formation energy (no corrections) = -1590 meV per atom
1.0
5.614 0.049 0.052
-0.104 5.741 -0.035
-1.388 -1.602 5.992
Li Co Ni O
4 3 3 12
Direct
0.299 0.358 0.856
0.701 0.642 0.144
0.000 0.000 0.500
0.500 0.000 0.500
0.333 0.832 0.836
0.000 0.500 0.500
0.667 0.168 0.164
0.833 0.833 0.834
0.167 0.167 0.166
0.500 0.500 0.500
0.923 0.390 0.189
0.253 0.731 0.525
0.095 0.058 0.850
0.428 0.391 0.183
0.758 0.730 0.513
0.077 0.610 0.811
0.585 0.056 0.849
0.905 0.942 0.150
0.242 0.270 0.487
0.572 0.609 0.817
0.415 0.944 0.151
0.747 0.269 0.475

---

Li2Co3NiO8 | Alexandria via LeMat-Bulk | meta-GGA SCAN | single point on PBEsol structure; formation energy (no corrections) = -1474 meV per atom
1.0
5.605 0.000 0.000
2.802 4.854 0.000
2.802 1.618 4.625
Li Co Ni O
2 3 1 8
Direct
0.122 0.122 0.633
0.498 0.498 0.505
0.007 0.499 0.996
0.499 0.499 0.996
0.499 0.007 0.996
0.879 0.879 0.364
0.264 0.264 0.209
0.249 0.712 0.790
0.249 0.249 0.790
0.712 0.249 0.790
0.283 0.750 0.217
0.750 0.750 0.217
0.750 0.283 0.217
0.740 0.740 0.780

---

Li6Co5Ni3O16 | Alexandria via LeMat-Bulk | meta-GGA SCAN | single point on PBEsol structure; formation energy (no corrections) = -1621 meV per atom
1.0
5.554 0.000 0.000
-2.777 4.827 0.041
0.000 -0.176 8.986
Li Co Ni O
6 5 3 16
Direct
0.170 0.340 0.448
0.171 0.836 0.447
0.665 0.836 0.447
0.335 0.168 0.950
0.833 0.168 0.950
0.832 0.664 0.946
0.169 0.339 0.714
0.331 0.662 0.991
0.337 0.168 0.215
0.831 0.168 0.215
0.668 0.337 0.490
0.169 0.832 0.714
0.663 0.832 0.714
0.832 0.663 0.214
0.159 0.317 0.094
0.036 0.513 0.846
0.477 0.513 0.846
0.331 0.662 0.605
0.161 0.840 0.091
0.480 0.961 0.848
0.324 0.167 0.590
0.679 0.840 0.091
0.520 0.040 0.342
0.842 0.167 0.590
0.518 0.482 0.343
0.665 0.330 0.107
0.964 0.482 0.343
0.840 0.679 0.589
0.002 0.005 0.817
0.001 0.002 0.318

---

Li5Co3Ni2O10 | Alexandria via LeMat-Bulk | meta-GGA SCAN | single point on PBEsol structure; formation energy (no corrections) = -1722 meV per atom
1.0
4.845 0.070 -0.147
-1.754 7.239 0.173
-1.699 -3.436 9.170
Li Co Ni O
10 6 4 20
Direct
0.500 0.500 0.750
0.500 0.500 0.250
0.791 0.585 0.538
0.791 0.585 0.038
0.209 0.415 0.962
0.209 0.415 0.462
0.611 0.225 0.859
0.611 0.225 0.359
0.389 0.775 0.641
0.389 0.775 0.141
0.000 0.000 0.250
0.300 0.101 0.553
0.700 0.899 0.947
0.000 0.000 0.750
0.300 0.101 0.053
0.700 0.899 0.447
0.900 0.306 0.652
0.100 0.694 0.848
0.900 0.306 0.152
0.100 0.694 0.348
0.959 0.125 0.938
0.959 0.125 0.438
0.041 0.875 0.562
0.041 0.875 0.062
0.670 0.051 0.632
0.670 0.051 0.132
0.330 0.949 0.868
0.330 0.949 0.368
0.869 0.458 0.846
0.869 0.458 0.346
0.131 0.542 0.654
0.131 0.542 0.154
0.772 0.773 0.772
0.772 0.773 0.272
0.228 0.227 0.728
0.228 0.227 0.228
0.552 0.332 0.551
0.551 0.332 0.051
0.448 0.668 0.949
0.449 0.668 0.449

---

Li4CoNi5O12 | Alexandria via LeMat-Bulk | meta-GGA SCAN | single point on PBEsol structure; formation energy (no corrections) = -1505 meV per atom
1.0
4.839 -0.028 -0.160
-2.329 4.241 -0.160
-0.523 -0.878 9.692
Li Co Ni O
4 1 5 12
Direct
0.264 0.926 0.758
0.074 0.736 0.242
0.926 0.259 0.757
0.741 0.074 0.243
0.000 0.000 0.000
0.165 0.835 0.500
0.666 0.334 0.000
0.337 0.663 0.000
0.833 0.167 0.500
0.499 0.501 0.500
0.367 0.026 0.101
0.974 0.633 0.899
0.465 0.809 0.396
0.807 0.467 0.396
0.191 0.535 0.604
0.886 0.887 0.607
0.533 0.193 0.604
0.013 0.349 0.107
0.711 0.709 0.102
0.651 0.987 0.893
0.291 0.289 0.898
0.113 0.114 0.393

---

Li3CoNi3O8 | Alexandria via LeMat-Bulk | meta-GGA SCAN | single point on PBEsol structure; formation energy (no corrections) = -1580 meV per atom
1.0
-3.421 3.556 -2.637
-5.604 -0.316 0.912
1.097 9.003 10.713
Li Co Ni O
9 3 9 24
Direct
0.500 0.000 0.000
0.000 0.000 0.000
0.500 0.500 0.000
0.836 0.331 0.333
0.333 0.835 0.333
0.333 0.331 0.333
0.667 0.669 0.667
0.164 0.669 0.667
0.667 0.165 0.667
0.167 0.168 0.163
0.500 0.500 0.500
0.833 0.832 0.837
0.669 0.666 0.167
0.166 0.666 0.167
0.668 0.165 0.169
0.000 0.500 0.500
0.500 0.000 0.500
0.000 0.000 0.500
0.834 0.334 0.833
0.332 0.835 0.831
0.331 0.334 0.833
0.171 0.155 0.901
0.648 0.684 0.906
0.671 0.159 0.905
0.167 0.683 0.906
0.352 0.316 0.094
0.833 0.317 0.094
0.329 0.841 0.095
0.829 0.845 0.099
0.011 0.481 0.234
0.484 0.016 0.239
0.501 0.498 0.238
0.000 0.017 0.239
0.668 0.659 0.429
0.174 0.153 0.427
0.172 0.661 0.430
0.656 0.185 0.430
0.826 0.847 0.573
0.344 0.815 0.570
0.828 0.339 0.570
0.332 0.341 0.571
0.516 0.984 0.761
0.989 0.519 0.766
0.000 0.983 0.761
0.499 0.502 0.762

---

The lowest formation energy (no corrections) belongs to which entry? Li5Co3Ni2O10

---

Which value of formation energy (no corrections) does entry 8 give? -1474 meV per atom